# 1
Below is a relaxed ReC2O crystal, with properties calculated at the PBE level.

Geometry as POSCAR:
```
ReC2O
1.0
4.4864 0.0000 0.0000
0.0000 4.4864 0.0000
0.0000 0.0000 8.9162
Re C O
4 8 4
Direct
0.0000 0.0000 0.0000
0.0000 0.5000 0.2500
0.5000 0.0000 0.7500
0.5000 0.5000 0.5000
0.2466 0.2500 0.6250
0.2500 0.7466 0.8750
0.2500 0.7534 0.3750
0.2534 0.2500 0.1250
0.7466 0.7500 0.1250
0.7500 0.2466 0.3750
0.7500 0.2534 0.8750
0.7534 0.7500 0.6250
0.0000 0.0000 0.5000
0.0000 0.5000 0.7500
0.5000 0.0000 0.2500
0.5000 0.5000 0.0000
```

Properties
electronic total energy: -7.62 eV per atom
space group: No. 122
ΔE_f (raw): 1.344 eV per atom

***

# 2
Below is a relaxed ReCO2 crystal, with properties calculated at the PBE level.

Geometry as POSCAR:
```
ReCO2
1.0
2.6969 0.0000 0.0000
-1.3485 2.3356 0.0000
0.0000 0.0000 17.9517
Re C O
3 3 6
Direct
0.0000 0.0000 0.0000
0.3333 0.6667 0.6667
0.6667 0.3333 0.3333
0.0000 0.0000 0.5000
0.3333 0.6667 0.1667
0.6667 0.3333 0.8333
0.0000 0.0000 0.1100
0.0000 0.0000 0.8900
0.3333 0.6667 0.5567
0.3333 0.6667 0.7766
0.6667 0.3333 0.2234
0.6667 0.3333 0.4433
```

Properties
electronic total energy: -7.07 eV per atom
space group: No. 166
ΔE_f (raw): 0.830 eV per atom

***

# 3
Below is a relaxed ReCO2 crystal, with properties calculated at the PBE level.

Geometry as POSCAR:
```
ReCO2
1.0
2.6931 0.0000 0.0000
-1.3466 2.3323 0.0000
0.0000 0.0000 19.8465
Re C O
3 3 6
Direct
0.0000 0.0000 0.0000
0.3333 0.6667 0.6667
0.6667 0.3333 0.3333
0.0000 0.0000 0.5000
0.3333 0.6667 0.1667
0.6667 0.3333 0.8333
0.0000 0.0000 0.4031
0.0000 0.0000 0.5969
0.3333 0.6667 0.0697
0.3333 0.6667 0.2636
0.6667 0.3333 0.7364
0.6667 0.3333 0.9303
```

Properties
electronic total energy: -7.24 eV per atom
space group: No. 166
ΔE_f (raw): 0.661 eV per atom

***

# 4
Below is a relaxed ReCO2 crystal, with properties calculated at the PBE level.

Geometry as POSCAR:
```
ReCO2
1.0
4.9145 0.0000 0.0000
0.0000 4.9145 0.0000
0.0000 0.0000 9.0914
Re C O
4 4 8
Direct
0.0000 0.0000 0.0000
0.0000 0.5000 0.2500
0.5000 0.0000 0.7500
0.5000 0.5000 0.5000
0.0000 0.0000 0.5000
0.0000 0.5000 0.7500
0.5000 0.0000 0.2500
0.5000 0.5000 0.0000
0.1833 0.2500 0.1250
0.2500 0.6833 0.3750
0.2500 0.8167 0.8750
0.3167 0.2500 0.6250
0.6833 0.7500 0.6250
0.7500 0.1833 0.8750
0.7500 0.3167 0.3750
0.8167 0.7500 0.1250
```

Properties
electronic total energy: -6.62 eV per atom
space group: No. 122
ΔE_f (raw): 1.274 eV per atom

***

# 5
Below is a relaxed ReRh2CO crystal, with properties calculated at the PBE level.

Geometry as POSCAR:
```
ReRh2CO
1.0
4.7874 0.0000 0.0000
0.0000 4.7874 0.0000
0.0000 0.0000 3.8790
Re Rh C O
1 2 1 1
Direct
0.0000 0.0000 0.0000
0.0000 0.5000 0.0000
0.5000 0.0000 0.0000
0.0000 0.0000 0.5000
0.5000 0.5000 0.5000
```

Properties
electronic total energy: -6.35 eV per atom
space group: No. 123
ΔE_f (raw): 1.915 eV per atom

***

# 6
Below is a relaxed ReSbCO2 crystal, with properties calculated at the PBE level.

Geometry as POSCAR:
```
ReSbCO2
1.0
3.8681 0.0000 0.0000
0.0000 3.8681 0.0000
0.0000 0.0000 4.3012
Re Sb C O
1 1 1 2
Direct
0.0000 0.0000 0.0000
0.5000 0.5000 0.5000
0.0000 0.0000 0.5000
0.0000 0.5000 0.0000
0.5000 0.0000 0.0000
```

Properties
electronic total energy: -7.12 eV per atom
space group: No. 123
ΔE_f (raw): 0.019 eV per atom

***

# 7
Below is a relaxed Sr2ReCO crystal, with properties calculated at the PBE level.

Geometry as POSCAR:
```
Sr2ReCO
1.0
5.3692 0.0000 0.0000
0.0000 5.3692 0.0000
0.0000 0.0000 3.9031
Sr Re C O
2 1 1 1
Direct
0.0000 0.5000 0.0000
0.5000 0.0000 0.0000
0.0000 0.0000 0.5000
0.0000 0.0000 0.0000
0.5000 0.5000 0.5000
```

Properties
electronic total energy: -5.94 eV per atom
space group: No. 123
ΔE_f (raw): 0.056 eV per atom

***

# 8
Below is a relaxed TiReC2O crystal, with properties calculated at the PBE level.

Geometry as POSCAR:
```
TiReC2O
1.0
4.0159 0.0000 0.0000
0.0000 4.0159 0.0000
0.0000 0.0000 3.7472
Ti Re C O
1 1 2 1
Direct
0.0000 0.0000 0.0000
0.5000 0.5000 0.5000
0.0000 0.5000 0.5000
0.5000 0.0000 0.5000
0.5000 0.5000 0.0000
```

Properties
electronic total energy: -8.22 eV per atom
space group: No. 123
ΔE_f (raw): 0.534 eV per atom

***

# 9
Below is a relaxed Zn2ReCO crystal, with properties calculated at the PBE level.

Geometry as POSCAR:
```
Zn2ReCO
1.0
4.9813 0.0000 0.0000
0.0000 4.9813 0.0000
0.0000 0.0000 3.8425
Zn Re C O
2 1 1 1
Direct
0.0000 0.5000 0.0000
0.5000 0.0000 0.0000
0.0000 0.0000 0.0000
0.0000 0.0000 0.5000
0.5000 0.5000 0.5000
```

Properties
electronic total energy: -4.49 eV per atom
space group: No. 123
ΔE_f (raw): 1.347 eV per atom

***

# 10
Below is a relaxed SrRhC2O6 crystal, with properties calculated at the PBE level.

Geometry as POSCAR:
```
SrRhC2O6
1.0
2.5040 1.4457 5.6887
-2.5040 1.4457 5.6887
0.0000 -2.8914 5.6887
Sr Rh C O
1 1 2 6
Direct
0.0000 0.0000 0.0000
0.5000 0.5000 0.5000
0.2397 0.2397 0.2397
0.7603 0.7603 0.7603
0.0342 0.5181 0.7219
0.2781 0.9658 0.4819
0.4819 0.2781 0.9658
0.5181 0.7219 0.0342
0.7219 0.0342 0.5181
0.9658 0.4819 0.2781
```

Properties
electronic total energy: -7.23 eV per atom
space group: No. 148
ΔE_f (raw): -1.504 eV per atom

***

# 11
Below is a relaxed SrRhCO5 crystal, with properties calculated at the PBE level.

Geometry as POSCAR:
```
SrRhCO5
1.0
3.2637 -4.3825 0.0000
3.2637 4.3825 0.0000
-2.8858 0.0000 6.3214
Sr Rh C O
2 2 2 10
Direct
0.1467 0.8533 0.7500
0.8533 0.1467 0.2500
0.5000 0.5000 0.0000
0.5000 0.5000 0.5000
0.1965 0.8035 0.2500
0.8035 0.1965 0.7500
0.0632 0.2603 0.9101
0.1790 0.6149 0.3547
0.2603 0.0632 0.4101
0.3851 0.8210 0.1453
0.4184 0.5816 0.7500
0.5816 0.4184 0.2500
0.6149 0.1790 0.8547
0.7397 0.9368 0.5899
0.8210 0.3851 0.6453
0.9368 0.7397 0.0899
```

Properties
electronic total energy: -6.76 eV per atom
space group: No. 15
ΔE_f (raw): -1.376 eV per atom

***

# 12
Below is a relaxed Th6Rh2C3O crystal, with properties calculated at the PBE level.

Geometry as POSCAR:
```
Th6Rh2C3O
1.0
8.7484 -1.8766 0.0000
8.7484 1.8766 0.0000
-2.4380 0.0000 7.4224
Th Rh C O
6 2 3 1
Direct
0.0000 0.0000 0.2466
0.0000 0.0000 0.7534
0.3255 0.3255 0.9134
0.3505 0.3505 0.3844
0.6495 0.6495 0.6156
0.6745 0.6745 0.0866
0.1833 0.1833 0.3738
0.8167 0.8167 0.6262
0.1523 0.1523 0.8505
0.5000 0.5000 0.5000
0.8477 0.8477 0.1495
0.5000 0.5000 0.0000
```

Properties
electronic total energy: -8.48 eV per atom
space group: No. 12
ΔE_f (raw): -0.828 eV per atom

***

# 13
Below is a relaxed RuCO2 crystal, with properties calculated at the PBE level.

Geometry as POSCAR:
```
RuCO2
1.0
2.6122 0.0000 0.0000
-1.3061 2.2622 0.0000
0.0000 0.0000 17.7366
Ru C O
3 3 6
Direct
0.0000 0.0000 0.0000
0.3333 0.6667 0.6667
0.6667 0.3333 0.3333
0.0000 0.0000 0.5000
0.3333 0.6667 0.1667
0.6667 0.3333 0.8333
0.0000 0.0000 0.1130
0.0000 0.0000 0.8870
0.3333 0.6667 0.5536
0.3333 0.6667 0.7797
0.6667 0.3333 0.2203
0.6667 0.3333 0.4464
```

Properties
electronic total energy: -6.25 eV per atom
space group: No. 166
ΔE_f (raw): 0.855 eV per atom

***

# 14
Below is a relaxed RuCO2 crystal, with properties calculated at the PBE level.

Geometry as POSCAR:
```
RuCO2
1.0
2.7153 0.0000 0.0000
-1.3577 2.3516 0.0000
0.0000 0.0000 32.0007
Ru C O
3 3 6
Direct
0.0000 0.0000 0.0000
0.3333 0.6667 0.6667
0.6667 0.3333 0.3333
0.0000 0.0000 0.5000
0.3333 0.6667 0.1667
0.6667 0.3333 0.8333
0.0000 0.0000 0.4633
0.0000 0.0000 0.5367
0.3333 0.6667 0.1299
0.3333 0.6667 0.2034
0.6667 0.3333 0.7966
0.6667 0.3333 0.8701
```

Properties
electronic total energy: -7.19 eV per atom
space group: No. 166
ΔE_f (raw): -0.082 eV per atom

***

# 15
Below is a relaxed RuC2O2 crystal, with properties calculated at the PBE level.

Geometry as POSCAR:
```
RuC2O2
1.0
4.0759 0.0000 0.0000
0.0000 4.0759 0.0000
0.0000 0.0000 5.3464
Ru C O
2 4 4
Direct
0.0000 0.0000 0.0000
0.5000 0.5000 0.5000
0.0000 0.0000 0.3768
0.0000 0.0000 0.6232
0.5000 0.5000 0.1232
0.5000 0.5000 0.8768
0.0000 0.5000 0.2500
0.0000 0.5000 0.7500
0.5000 0.0000 0.2500
0.5000 0.0000 0.7500
```

Properties
electronic total energy: -6.05 eV per atom
space group: No. 139
ΔE_f (raw): 1.478 eV per atom
relative energy among the computed polymorphs: 0.766 eV per atom

***

# 16
Below is a relaxed RuC3O crystal, with properties calculated at the PBE level.

Geometry as POSCAR:
```
RuC3O
1.0
3.9234 0.0000 0.0000
0.0000 3.9234 0.0000
0.0000 0.0000 3.9234
Ru C O
1 3 1
Direct
0.0000 0.0000 0.0000
0.0000 0.0000 0.5000
0.0000 0.5000 0.0000
0.5000 0.0000 0.0000
0.5000 0.5000 0.5000
```

Properties
electronic total energy: -6.06 eV per atom
space group: No. 221
ΔE_f (raw): 2.326 eV per atom
relative energy among the computed polymorphs: 0.000 eV per atom

***

# 17
Below is a relaxed RuC2O2 crystal, with properties calculated at the PBE level.

Geometry as POSCAR:
```
RuC2O2
1.0
6.6270 0.0000 0.0000
0.0000 6.6270 0.0000
0.0000 0.0000 2.2913
Ru C O
2 4 4
Direct
0.0000 0.0000 0.0000
0.5000 0.5000 0.0000
0.2114 0.2886 0.0000
0.2886 0.7886 0.0000
0.7114 0.2114 0.0000
0.7886 0.7114 0.0000
0.1272 0.3728 0.5000
0.3728 0.8728 0.5000
0.6272 0.1272 0.5000
0.8728 0.6272 0.5000
```

Properties
electronic total energy: -6.82 eV per atom
space group: No. 127
ΔE_f (raw): 0.712 eV per atom
relative energy among the computed polymorphs: 0.000 eV per atom

***

# 18
Below is a relaxed RuC2O crystal, with properties calculated at the PBE level.

Geometry as POSCAR:
```
RuC2O
1.0
4.4339 0.0000 0.0000
0.0000 4.4339 0.0000
0.0000 0.0000 8.5710
Ru C O
4 8 4
Direct
0.0000 0.0000 0.0000
0.0000 0.5000 0.2500
0.5000 0.0000 0.7500
0.5000 0.5000 0.5000
0.2381 0.2500 0.6250
0.2500 0.7381 0.8750
0.2500 0.7619 0.3750
0.2619 0.2500 0.1250
0.7381 0.7500 0.1250
0.7500 0.2381 0.3750
0.7500 0.2619 0.8750
0.7619 0.7500 0.6250
0.0000 0.0000 0.5000
0.0000 0.5000 0.7500
0.5000 0.0000 0.2500
0.5000 0.5000 0.0000
```

Properties
electronic total energy: -6.88 eV per atom
space group: No. 122
ΔE_f (raw): 1.291 eV per atom

***

# 19
Below is a relaxed RuCO2 crystal, with properties calculated at the PBE level.

Geometry as POSCAR:
```
RuCO2
1.0
4.4609 0.0000 0.0000
0.0000 4.4609 0.0000
0.0000 0.0000 7.9319
Ru C O
4 4 8
Direct
0.0000 0.0000 0.0000
0.0000 0.5000 0.2500
0.5000 0.0000 0.7500
0.5000 0.5000 0.5000
0.0000 0.0000 0.5000
0.0000 0.5000 0.7500
0.5000 0.0000 0.2500
0.5000 0.5000 0.0000
0.1436 0.2500 0.6250
0.2500 0.6436 0.8750
0.2500 0.8564 0.3750
0.3564 0.2500 0.1250
0.6436 0.7500 0.1250
0.7500 0.1436 0.3750
0.7500 0.3564 0.8750
0.8564 0.7500 0.6250
```

Properties
electronic total energy: -6.04 eV per atom
space group: No. 122
ΔE_f (raw): 1.066 eV per atom

***

# 20
Below is a relaxed RuC3O crystal, with properties calculated at the PBE level.

Geometry as POSCAR:
```
RuC3O
1.0
3.4918 0.0000 0.0000
0.0000 3.4918 0.0000
0.0000 0.0000 3.4918
Ru C O
1 3 1
Direct
0.0000 0.0000 0.0000
0.0000 0.5000 0.5000
0.5000 0.0000 0.5000
0.5000 0.5000 0.0000
0.5000 0.5000 0.5000
```

Properties
electronic total energy: -5.55 eV per atom
space group: No. 221
ΔE_f (raw): 2.826 eV per atom
relative energy among the computed polymorphs: 0.501 eV per atom

***

# 21
Below is a relaxed Ta2RuCO crystal, with properties calculated at the PBE level.

Geometry as POSCAR:
```
Ta2RuCO
1.0
4.4273 0.0000 0.0000
0.0000 4.4273 0.0000
0.0000 0.0000 3.3920
Ta Ru C O
2 1 1 1
Direct
0.0000 0.5000 0.0000
0.5000 0.0000 0.0000
0.0000 0.0000 0.5000
0.5000 0.5000 0.0000
0.5000 0.5000 0.5000
```

Properties
electronic total energy: -8.99 eV per atom
space group: No. 123
ΔE_f (raw): 0.447 eV per atom

***

# 22
Below is a relaxed Tl2RuC2O6 crystal, with properties calculated at the PBE level.

Geometry as POSCAR:
```
Tl2RuC2O6
1.0
5.9402 -2.5810 0.0000
5.9402 2.5810 0.0000
-2.5018 0.0000 5.8701
Tl Ru C O
2 1 2 6
Direct
0.1922 0.1922 0.2183
0.8078 0.8078 0.7817
0.0000 0.0000 0.5000
0.4963 0.4963 0.7221
0.5037 0.5037 0.2779
0.2234 0.6569 0.2569
0.3431 0.7766 0.7431
0.3847 0.3847 0.6913
0.6153 0.6153 0.3087
0.6569 0.2234 0.2569
0.7766 0.3431 0.7431
```

Properties
electronic total energy: -6.61 eV per atom
space group: No. 12
ΔE_f (raw): -0.959 eV per atom

***

# 23
Below is a relaxed ZnRuC2O crystal, with properties calculated at the PBE level.

Geometry as POSCAR:
```
ZnRuC2O
1.0
3.8944 0.0000 0.0000
0.0000 3.8944 0.0000
0.0000 0.0000 3.5332
Zn Ru C O
1 1 2 1
Direct
0.0000 0.0000 0.0000
0.5000 0.5000 0.0000
0.0000 0.5000 0.5000
0.5000 0.0000 0.5000
0.0000 0.0000 0.5000
```

Properties
electronic total energy: -4.72 eV per atom
space group: No. 123
ΔE_f (raw): 2.071 eV per atom

***

# 24
Below is a relaxed Sb2CSO crystal, with properties calculated at the PBE level.

Geometry as POSCAR:
```
Sb2CSO
1.0
5.2111 0.0000 0.0000
0.0000 5.2111 0.0000
0.0000 0.0000 3.4156
Sb C S O
2 1 1 1
Direct
0.0000 0.5000 0.0000
0.5000 0.0000 0.0000
0.0000 0.0000 0.5000
0.0000 0.0000 0.0000
0.5000 0.5000 0.5000
```

Properties
electronic total energy: -3.96 eV per atom
space group: No. 123
ΔE_f (raw): 1.347 eV per atom

***

# 25
Below is a relaxed Sc6CS2O crystal, with properties calculated at the PBE level.

Geometry as POSCAR:
```
Sc6CS2O
1.0
5.5692 0.0000 0.0000
0.0000 5.5692 0.0000
0.0000 0.0000 5.8495
Sc C S O
6 1 2 1
Direct
0.0000 0.0000 0.0000
0.2469 0.2469 0.5304
0.2469 0.7531 0.5304
0.5000 0.5000 0.0165
0.7531 0.2469 0.5304
0.7531 0.7531 0.5304
0.5000 0.5000 0.3727
0.0000 0.5000 0.8573
0.5000 0.0000 0.8573
0.0000 0.0000 0.3496
```

Properties
electronic total energy: -7.02 eV per atom
space group: No. 99
ΔE_f (raw): -0.980 eV per atom

***

# 26
Below is a relaxed Sc6C2S3O crystal, with properties calculated at the PBE level.

Geometry as POSCAR:
```
Sc6C2S3O
1.0
2.9735 -5.1488 0.0000
2.9735 5.1488 0.0000
-1.9740 0.0000 5.8601
Sc C S O
6 2 3 1
Direct
0.0898 0.4303 0.7905
0.2288 0.2288 0.2091
0.4303 0.0898 0.7905
0.5697 0.9102 0.2095
0.7712 0.7712 0.7909
0.9102 0.5697 0.2095
0.1669 0.8331 0.0000
0.8331 0.1669 0.0000
0.0000 0.0000 0.5000
0.3346 0.6654 0.5000
0.6654 0.3346 0.5000
0.5000 0.5000 0.0000
```

Properties
electronic total energy: -7.87 eV per atom
space group: No. 12
ΔE_f (raw): -1.721 eV per atom